No. 1
A plane-wave DFT calculation with PBE was carried out for YAlHg after structural relaxation.

Cell: 5.8345 5.8345 5.9540 Å, 90.00 90.00 136.85°
With the nearest neighbours (Å) after each atom.
Fractional positions:
Y (0.1923, 0.8077, 0.7500)  5 Hg 3.05-3.25, 4 Al 3.34
Y (0.8077, 0.1923, 0.2500)  5 Hg 3.05-3.25, 4 Al 3.34
Al (0.5000, 0.5000, 0.0000)  4 Hg 2.86, 2 Al 2.98
Al (0.5000, 0.5000, 0.5000)  4 Hg 2.86, 2 Al 2.98
Hg (0.1075, 0.8925, 0.2500)  4 Al 2.86, 4 Y 3.05-3.12
Hg (0.8925, 0.1075, 0.7500)  4 Al 2.86, 4 Y 3.05-3.12

Output
Crystal system ... orthorhombic
ΔE_f ... -39 kJ/mol of atoms
E above lowest polymorph ... 0.075 eV/atom
Fermi-level density of states ... 0.51 states/eV per atom
Energy ... -3.909 eV/atom

=====

No. 2
A plane-wave DFT calculation with PBE was carried out for YAlHg after structural relaxation.

Cell: 4.3359 4.3359 7.4252 Å, 90.00 90.00 90.00°
With the nearest neighbours (Å) after each atom.
Fractional positions:
Y (0.2500, 0.2500, 0.1688)  5 Hg 3.12-3.13, 4 Al 3.28
Y (0.7500, 0.7500, 0.8312)  5 Hg 3.12-3.13, 4 Al 3.28
Al (0.2500, 0.7500, 0.5000)  4 Hg 2.85, 4 Al 3.07
Al (0.7500, 0.2500, 0.5000)  4 Hg 2.85, 4 Al 3.07
Hg (0.2500, 0.2500, 0.7489)  4 Al 2.85, 5 Y 3.12-3.13
Hg (0.7500, 0.7500, 0.2511)  4 Al 2.85, 5 Y 3.12-3.13

Output
Crystal system ... tetragonal
ΔE_f ... -38 kJ/mol of atoms
E above lowest polymorph ... 0.089 eV/atom
Fermi-level density of states ... 0.70 states/eV per atom
Energy ... -3.896 eV/atom

=====

> What is the ΔE_f in the first record?

-39 kJ/mol of atoms